Here is a relaxed ZnAsIrSe2 crystal from Alexandria. Energies are from GGA-PBE.

Values from the calculation:
ρ = 6.722 g cm⁻³
polymorph energy (0 for the lowest one) = 0.0 meV/atom
DOS at the Fermi energy = 5.7 states/eV/f.u.
uncorrected energy = -19.056 eV/f.u.
space group = P4/mmm (123)
uncorrected formation energy = 2.70 eV/f.u.

abc: 5.1469 5.1469 4.5736
angles: 90.00 90.00 90.00
Last column: nearest neighbours and their distance in Å.
Atoms (fractional coordinates):
As (0.0000, 0.0000, 0.5000)  2 Ir 2.29
Ir (0.0000, 0.0000, 0.0000)  2 As 2.29
Zn (0.5000, 0.5000, 0.5000)  8 Se 3.44, 4 As 3.64
Se (0.0000, 0.5000, 0.0000)  2 Ir 2.57
Se (0.5000, 0.0000, 0.0000)  2 Ir 2.57



Here is a relaxed ZnAsIrSe2 crystal from Alexandria. Energies are from GGA-PBE.

Values from the calculation:
ρ = 7.149 g cm⁻³
polymorph energy (0 for the lowest one) = 30.4 meV/atom
DOS at the Fermi energy = 4.7 states/eV/f.u.
uncorrected energy = -18.904 eV/f.u.
space group = P4/mmm (123)
uncorrected formation energy = 2.85 eV/f.u.

abc: 4.8905 4.7633 4.8905
angles: 90.00 90.00 90.00
Last column: nearest neighbours and their distance in Å.
Atoms (fractional coordinates):
As (0.5000, 0.5000, 0.5000)  8 Se 3.41, 4 Zn 3.46
Ir (0.0000, 0.0000, 0.0000)  2 Zn 2.38, 4 Se 2.45
Zn (0.0000, 0.5000, 0.0000)  2 Ir 2.38
Se (0.0000, 0.0000, 0.5000)  2 Ir 2.45
Se (0.5000, 0.0000, 0.0000)  2 Ir 2.45